A relaxed Cu2SiPd8 crystal, computed with PBE-GGA.

Crystal system ... orthorhombic
Space group ... Immm, No. 71
Fermi-level density of states ... 9.4 states/eV/f.u.
Energy above the lowest structure with this stoichiometry ... 5.3 kJ per mole of atoms
Formation energy (no corrections) ... -0.16 eV per atom
V ... 14.9 Å³/atom

```
Cu2SiPd8
1.0
-2.096 3.569 5.487
2.096 -3.569 5.487
2.096 3.569 -5.487
Cu Si Pd
2 1 8
direct
0.202 0.202 0.000
0.798 0.798 0.000
0.500 0.500 0.000
0.072 0.348 0.724
0.182 0.000 0.182
0.366 0.866 0.500
0.375 0.652 0.724
0.625 0.348 0.276
0.634 0.134 0.500
0.818 0.000 0.818
0.928 0.652 0.276
```

---

A relaxed Tl3Zn crystal, computed with PBE-GGA.

Energy of formation from the pure elements ... 0.147 eV per atom
Crystal system ... tetragonal
Space group ... P4/mmm, No. 123
Fermi-level density of states ... 1.6 states/eV/f.u.
V ... 28.3 Å³/atom

```
Tl3Zn
1.0
5.822 0.000 0.000
0.000 5.822 0.000
0.000 0.000 3.343
Tl Zn
3 1
direct
0.000 0.000 0.000
0.000 0.500 0.500
0.500 0.000 0.500
0.500 0.500 0.000
```

---

A relaxed Pr2HfScPt2 crystal, computed with PBE-GGA.

Energy of formation from the pure elements ... -0.878 eV per atom
Crystal system ... orthorhombic
Space group ... Ibam, No. 72
Fermi-level density of states ... 6.0 states/eV/f.u.
V ... 25.0 Å³/atom

```
Pr2HfScPt2
1.0
-3.293 6.914 3.289
3.293 -6.914 3.289
3.293 6.914 -3.289
Pr Hf Sc Pt
4 2 2 4
direct
0.187 0.247 0.434
0.313 0.747 0.059
0.687 0.253 0.941
0.813 0.753 0.566
0.250 0.750 0.500
0.750 0.250 0.500
0.250 0.250 0.000
0.750 0.750 0.000
0.101 0.742 0.844
0.399 0.242 0.641
0.601 0.758 0.359
0.899 0.258 0.156
```